(1)
DFT (GGA-PBE) results for LuThScAl after structural relaxation.

Cell lengths 7.4031, 7.4031, 7.4031 Å; angles 90.00, 90.00, 90.00 degrees
Space group F-43m (No. 216)
Inequivalent atoms, fractional coordinates:
Lu1 0.0000 0.0000 0.0000 (multiplicity 4)
Th1 0.0000 0.0000 0.5000 (multiplicity 4)
Sc1 0.2500 0.2500 0.2500 (multiplicity 4)
Al1 0.2500 0.2500 0.7500 (multiplicity 4)

Summary:
E_form, kJ per mole of atoms: -7.1
DOS(E_F), states/eV/cell: 27.1

(2)
DFT (GGA-PBE) results for NaTbEu after structural relaxation.

Cell lengths 3.6068, 3.6068, 16.8142 Å; angles 90.00, 90.00, 90.00 degrees
Space group I4mm (No. 107)
Inequivalent atoms, fractional coordinates:
Na1 0.0000 0.0000 0.0000 (multiplicity 2)
Tb1 0.0000 0.0000 0.6636 (multiplicity 2)
Eu1 0.0000 0.0000 0.3222 (multiplicity 2)

Summary:
E_form, kJ per mole of atoms: 17.5
DOS(E_F), states/eV/cell: 7.0

(3)
DFT (GGA-PBE) results for TiMn2Tl3Te6 after structural relaxation.

Cell lengths 7.1719, 12.4553, 8.2740 Å; angles 90.00, 106.88, 90.00 degrees
Space group C2/m (No. 12)
Inequivalent atoms, fractional coordinates:
Ti1 0.0000 0.0000 0.0000 (multiplicity 2)
Mn1 0.0000 0.3329 0.0000 (multiplicity 4)
Tl1 0.0000 0.1651 0.5000 (multiplicity 4)
Tl2 0.0000 0.5000 0.5000 (multiplicity 2)
Te1 0.2301 0.1660 0.1921 (multiplicity 8)
Te2 0.2323 0.5000 0.1920 (multiplicity 4)

Summary:
E_tot, eV per atom: -4.6794
DOS(E_F), states/eV/cell: 10.6

(4)
DFT (GGA-PBE) results for Th2NpUP4 after structural relaxation.

Cell lengths 5.7448, 5.7448, 11.4659 Å; angles 90.00, 90.00, 90.00 degrees
Space group I-4m2 (No. 119)
Inequivalent atoms, fractional coordinates:
Th1 0.0000 0.0000 0.0000 (multiplicity 2)
Th2 0.0000 0.5000 0.2500 (multiplicity 2)
Np1 0.0000 0.0000 0.5000 (multiplicity 2)
U1 0.0000 0.5000 0.7500 (multiplicity 2)
P1 0.0000 0.0000 0.2552 (multiplicity 4)
P2 0.0000 0.5000 0.5071 (multiplicity 4)

Summary:
E_form, kJ per mole of atoms: -117.4
DOS(E_F), states/eV/cell: 33.7

(5)
DFT (GGA-PBE) results for K2Sr2US6 after structural relaxation.

Cell lengths 7.4029, 12.4254, 7.8320 Å; angles 90.00, 108.44, 90.00 degrees
Space group C2/m (No. 12)
Inequivalent atoms, fractional coordinates:
K1 0.0000 0.1725 0.0000 (multiplicity 4)
Sr1 0.0000 0.3358 0.5000 (multiplicity 4)
U1 0.0000 0.0000 0.5000 (multiplicity 2)
S1 0.2116 0.1477 0.6988 (multiplicity 8)
S2 0.2183 0.0000 0.3013 (multiplicity 4)

Summary:
E_tot, eV per atom: -5.3881

(6)
DFT (GGA-PBE) results for MgTa2Co after structural relaxation.

Cell lengths 7.3270, 7.3270, 5.3301 Å; angles 90.00, 90.00, 90.00 degrees
Space group I-42d (No. 122)
Inequivalent atoms, fractional coordinates:
Mg1 0.0000 0.0000 0.0000 (multiplicity 4)
Ta1 0.1884 0.7500 0.6250 (multiplicity 8)
Co1 0.0000 0.0000 0.5000 (multiplicity 4)

Summary:
E_form, kJ per mole of atoms: 43.6
DOS(E_F), states/eV/cell: 15.8

(7)
DFT (GGA-PBE) results for NaTl2Au2 after structural relaxation.

Cell lengths 5.8863, 6.7294, 7.8470 Å; angles 69.06, 68.02, 64.16 degrees
Space group P-1 (No. 2)
Inequivalent atoms, fractional coordinates:
Na1 0.1421 0.2493 0.2499 (multiplicity 2)
Tl1 0.2445 0.6366 0.3486 (multiplicity 2)
Tl2 0.2699 0.1374 0.8478 (multiplicity 2)
Au1 0.2746 0.6645 0.9470 (multiplicity 2)
Au2 0.3857 0.8353 0.5536 (multiplicity 2)

Summary:
E_form, kJ per mole of atoms: -12.8
DOS(E_F), states/eV/cell: 3.6

(8)
DFT (GGA-PBE) results for KMnAlTc2 after structural relaxation.

Cell lengths 4.5748, 4.5748, 4.4935 Å; angles 90.00, 90.00, 90.00 degrees
Space group P4/mmm (No. 123)
Inequivalent atoms, fractional coordinates:
K1 0.0000 0.0000 0.0000 (multiplicity 1)
Mn1 0.0000 0.0000 0.5000 (multiplicity 1)
Al1 0.5000 0.5000 0.5000 (multiplicity 1)
Tc1 0.0000 0.5000 0.0000 (multiplicity 2)

Summary:
E_form, kJ per mole of atoms: 253.6
DOS(E_F), states/eV/cell: 5.0